[1]
This record from Alexandria describes a geometry-optimized Th4Fe2Sn structure. The functional is PBE.

abc: 6.793 6.928 8.823
angles: 107.16 106.61 104.65
Atoms (fractional coordinates):
1 Th 0.000 0.000 0.000
2 Th 0.023 0.727 0.592
3 Th 0.308 0.179 0.478
4 Th 0.356 0.561 0.258
5 Th 0.470 0.613 0.872
6 Th 0.523 0.165 0.977
7 Th 0.755 0.127 0.372
8 Th 0.926 0.426 0.851
9 Fe 0.157 0.205 0.763
10 Fe 0.320 0.866 0.085
11 Fe 0.665 0.527 0.605
12 Fe 0.985 0.346 0.245
13 Sn 0.603 0.903 0.640
14 Sn 0.886 0.687 0.210

density of states at the Fermi level: 0.8432 states/eV per atom
E_form: -0.18 eV/atom
total moment: 0.00 μB/f.u.

---

[2]
This record from Alexandria describes a geometry-optimized ThFeSn structure. The functional is PBE.

abc: 4.528 4.528 8.780
angles: 105.02 105.02 60.09
Atoms (fractional coordinates):
1 Th 0.240 0.240 0.221
2 Th 0.760 0.760 0.779
3 Fe 0.346 0.346 0.538
4 Fe 0.654 0.654 0.462
5 Sn 0.000 0.000 0.500
6 Sn 0.500 0.500 0.000

density of states at the Fermi level: 0.8686 states/eV per atom
E_form: -0.21 eV/atom
total moment: 1.81 μB/f.u.

---

[3]
This record from Alexandria describes a geometry-optimized Th2FeSn structure. The functional is PBE.

abc: 6.526 6.069 10.804
angles: 90.00 102.88 90.00
Atoms (fractional coordinates):
1 Th 0.160 0.182 0.117
2 Th 0.160 0.818 0.617
3 Th 0.268 0.326 0.815
4 Th 0.268 0.674 0.315
5 Th 0.732 0.326 0.685
6 Th 0.732 0.674 0.185
7 Th 0.840 0.182 0.383
8 Th 0.840 0.818 0.883
9 Fe 0.099 0.327 0.579
10 Fe 0.099 0.673 0.079
11 Fe 0.901 0.327 0.921
12 Fe 0.901 0.673 0.421
13 Sn 0.356 0.186 0.433
14 Sn 0.356 0.814 0.933
15 Sn 0.644 0.186 0.067
16 Sn 0.644 0.814 0.567

density of states at the Fermi level: 0.9395 states/eV per atom
E_form: -0.21 eV/atom
total moment: 0.00 μB/f.u.

---

[4]
This record from Alexandria describes a geometry-optimized Th3FeSn2 structure. The functional is PBE.

abc: 8.149 8.149 7.538
angles: 103.35 103.35 45.31
Atoms (fractional coordinates):
1 Th 0.000 0.000 0.250
2 Th 0.000 0.000 0.750
3 Th 0.374 0.377 0.938
4 Th 0.377 0.374 0.438
5 Th 0.623 0.626 0.562
6 Th 0.626 0.623 0.062
7 Fe 0.499 0.501 0.750
8 Fe 0.501 0.499 0.250
9 Sn 0.186 0.189 0.594
10 Sn 0.189 0.186 0.094
11 Sn 0.811 0.814 0.906
12 Sn 0.814 0.811 0.406

density of states at the Fermi level: 1.0839 states/eV per atom
E_form: -0.20 eV/atom
total moment: 0.00 μB/f.u.

---

[5]
This record from Alexandria describes a geometry-optimized TiFeSn structure. The functional is PBE.

abc: 10.924 10.924 10.924
angles: 163.43 163.43 23.52
Atoms (fractional coordinates):
1 Ti 0.158 0.158 0.000
2 Ti 0.842 0.842 0.000
3 Fe 0.282 0.282 0.000
4 Fe 0.718 0.718 0.000
5 Sn 0.432 0.432 0.000
6 Sn 0.568 0.568 0.000

density of states at the Fermi level: 0.8214 states/eV per atom
E_form: -0.17 eV/atom
total moment: 1.34 μB/f.u.

---

[6]
This record from Alexandria describes a geometry-optimized TiFeSn2 structure. The functional is PBE.

abc: 4.665 4.665 4.665
angles: 60.00 60.00 60.00
Atoms (fractional coordinates):
1 Ti 0.000 0.000 0.000
2 Fe 0.500 0.500 0.500
3 Sn 0.250 0.250 0.250
4 Sn 0.750 0.750 0.750

density of states at the Fermi level: 1.1154 states/eV per atom
E_form: 0.15 eV/atom
total moment: 2.29 μB/f.u.

---

[7]
This record from Alexandria describes a geometry-optimized Ti2Fe2Sn structure. The functional is PBE.

abc: 6.962 6.962 3.154
angles: 90.00 90.00 90.00
Atoms (fractional coordinates):
1 Ti 0.177 0.323 0.000
2 Ti 0.323 0.823 0.000
3 Ti 0.677 0.177 0.000
4 Ti 0.823 0.677 0.000
5 Fe 0.115 0.615 0.500
6 Fe 0.385 0.115 0.500
7 Fe 0.615 0.885 0.500
8 Fe 0.885 0.385 0.500
9 Sn 0.000 0.000 0.500
10 Sn 0.500 0.500 0.500

density of states at the Fermi level: 0.7838 states/eV per atom
E_form: -0.20 eV/atom
total moment: 2.60 μB/f.u.

---

[8]
This record from Alexandria describes a geometry-optimized TiFeSn2 structure. The functional is PBE.

abc: 8.834 8.834 8.834
angles: 20.54 20.54 20.54
Atoms (fractional coordinates):
1 Ti 0.000 0.000 0.000
2 Fe 0.500 0.500 0.500
3 Sn 0.243 0.243 0.243
4 Sn 0.757 0.757 0.757

density of states at the Fermi level: 0.8596 states/eV per atom
E_form: 0.13 eV/atom
total moment: 1.78 μB/f.u.

---

[9]
This record from Alexandria describes a geometry-optimized TiFe3Sn structure. The functional is PBE.

abc: 4.429 4.429 4.429
angles: 90.00 90.00 90.00
Atoms (fractional coordinates):
1 Ti 0.000 0.000 0.000
2 Fe 0.000 0.000 0.500
3 Fe 0.000 0.500 0.000
4 Fe 0.500 0.000 0.000
5 Sn 0.500 0.500 0.500

density of states at the Fermi level: 0.8982 states/eV per atom
E_form: 0.93 eV/atom
total moment: 5.42 μB/f.u.

---

[10]
This record from Alexandria describes a geometry-optimized Ti3FeSn structure. The functional is PBE.

abc: 5.031 5.031 5.031
angles: 90.00 90.00 90.00
Atoms (fractional coordinates):
1 Ti 0.000 0.000 0.500
2 Ti 0.000 0.500 0.000
3 Ti 0.500 0.000 0.000
4 Fe 0.500 0.500 0.500
5 Sn 0.000 0.000 0.000

density of states at the Fermi level: 2.5545 states/eV per atom
E_form: 1.65 eV/atom
total moment: 0.23 μB/f.u.

---

[11]
This record from Alexandria describes a geometry-optimized TiFeSn structure. The functional is PBE.

abc: 4.391 4.391 4.391
angles: 60.00 60.00 60.00
Atoms (fractional coordinates):
1 Ti 0.000 0.000 0.000
2 Fe 0.250 0.250 0.250
3 Sn 0.750 0.750 0.750

density of states at the Fermi level: 1.4387 states/eV per atom
E_form: 0.41 eV/atom
total moment: 1.36 μB/f.u.

---

[12]
This record from Alexandria describes a geometry-optimized Ti6FeSn3 structure. The functional is PBE.

abc: 5.879 5.879 7.076
angles: 107.02 107.02 60.68
Atoms (fractional coordinates):
1 Ti 0.130 0.656 0.624
2 Ti 0.306 0.306 0.198
3 Ti 0.344 0.870 0.376
4 Ti 0.656 0.130 0.624
5 Ti 0.694 0.694 0.802
6 Ti 0.870 0.344 0.376
7 Fe 0.500 0.500 0.500
8 Sn 0.000 0.000 0.000
9 Sn 0.194 0.194 0.755
10 Sn 0.806 0.806 0.245

density of states at the Fermi level: 1.1049 states/eV per atom
E_form: -0.01 eV/atom
total moment: 0.00 μB/f.u.